The following is a PBE calculation of crystalline Ti2Si2Cl at its relaxed geometry, from Alexandria.

## Properties
- ΔE to the lowest computed polymorph: 0.00 eV per formula unit
- Energy relative to the elements, uncorrected: -2.5 eV/f.u.
- N(E_F): 4.0 states/eV/f.u.
- Space group: P4/mbm (127)

POSCAR file:
```
Ti2Si2Cl
1.0
6.991 0.000 0.000
0.000 6.991 0.000
0.000 0.000 3.348
Cl Si Ti
2 4 4
Cartesian
3.496 3.496 0.000
0.000 0.000 0.000
4.321 6.166 1.674
2.670 0.825 1.674
6.166 2.670 1.674
0.825 4.321 1.674
1.229 2.267 0.000
5.762 4.724 0.000
2.267 5.762 0.000
4.724 1.229 0.000
```

The following is a PBE calculation of crystalline TbFeAg at its relaxed geometry, from Alexandria.

## Properties
- Energy of formation from the pure elements: 0.02 eV per formula unit
- N(E_F): 2.7 states/eV/f.u.
- Space group: C2/m (12)

POSCAR file:
```
TbFeAg
1.0
-0.184 -1.183 3.674
-3.254 -3.494 -1.288
5.652 -2.461 -2.542
Tb Fe Ag
2 2 2
Cartesian
1.879 -5.220 0.445
0.336 -1.918 -0.601
2.583 -2.552 1.339
-0.368 -4.586 -1.495
4.051 -3.369 -0.882
-1.836 -3.769 0.727
```

The following is a PBE calculation of crystalline DyHo2TmRh4 at its relaxed geometry, from Alexandria.

## Properties
- Energy of formation from the pure elements: -7.36 eV per formula unit
- N(E_F): 3.2 states/eV/f.u.
- Space group: R-3m (166)

POSCAR file:
```
DyHo2TmRh4
1.0
-0.949 -4.717 -0.152
2.663 -3.075 2.574
-4.373 -1.799 6.878
Rh Ho Tm Dy
4 2 1 1
Cartesian
0.515 -5.094 2.386
-2.509 -2.100 4.590
-0.149 -7.492 4.710
-3.173 -4.498 6.914
-1.986 -7.195 6.965
-0.672 -2.397 2.334
-1.329 -4.796 4.650
0.000 0.000 0.000
```

The following is a PBE calculation of crystalline AcLa4Ga4 at its relaxed geometry, from Alexandria.

## Properties
- Energy of formation from the pure elements: -2.63 eV per formula unit
- N(E_F): 9.4 states/eV/f.u.
- Space group: P4_2/n (86)

POSCAR file:
```
AcLa4Ga4
1.0
6.043 0.000 0.000
0.000 9.438 0.000
0.000 0.000 9.438
La Ac Ga
8 2 8
Cartesian
2.131 5.567 1.480
0.890 8.590 3.239
3.912 7.958 5.567
3.912 1.480 3.871
0.890 0.848 6.199
5.153 6.199 8.590
5.153 3.239 0.848
2.131 3.871 7.958
0.000 0.000 0.000
3.022 4.719 4.719
2.171 2.210 1.227
5.193 5.946 2.509
3.872 8.211 2.210
5.193 3.492 6.929
2.171 7.228 8.211
0.850 2.509 3.492
3.872 1.227 7.228
0.850 6.929 5.946
```

The following is a PBE calculation of crystalline Li6CdRh at its relaxed geometry, from Alexandria.

## Properties
- Energy of formation from the pure elements: -0.95 eV per formula unit
- ΔE to the lowest computed polymorph: 0.00 eV per formula unit
- N(E_F): 2.8 states/eV/f.u.
- Space group: Amm2 (38)

POSCAR file:
```
Li6CdRh
1.0
4.155 0.000 0.000
0.000 5.479 1.090
0.000 -1.448 5.395
Cd Li Rh
1 6 1
Cartesian
2.078 1.100 3.812
2.078 1.779 0.989
2.078 3.932 4.453
0.000 2.816 2.745
0.000 0.125 2.124
0.000 2.182 5.433
2.078 4.745 1.546
0.000 -0.558 4.842
```

The following is a PBE calculation of crystalline BaUGeS5 at its relaxed geometry, from Alexandria.

## Properties
- Energy relative to the elements, uncorrected: -9.3 eV/f.u.
- N(E_F): 5.1 states/eV/f.u.
- Space group: C2/c (15)

POSCAR file:
```
BaUGeS5
1.0
-0.959 2.233 -6.920
-4.517 -5.696 0.973
-3.978 6.968 5.206
S Ge U Ba
10 2 2 2
Cartesian
-2.684 3.639 -2.556
-6.711 2.580 4.569
-5.208 1.152 -2.351
-7.670 3.582 1.302
-6.769 -0.134 1.816
-4.245 2.352 1.611
-5.225 -3.316 1.640
-4.228 6.821 -2.380
-1.783 -0.077 -2.042
-2.742 0.924 -5.309
-6.374 2.039 2.380
-3.079 1.466 -3.121
-1.989 3.484 2.603
0.000 0.000 0.000
-4.292 -1.238 -0.430
-5.161 4.742 -0.311
```

The following is a PBE calculation of crystalline NiOs2Pb at its relaxed geometry, from Alexandria.

## Properties
- Energy of formation from the pure elements: 2.17 eV per formula unit
- N(E_F): 3.3 states/eV/f.u.
- Space group: Pm (6)

POSCAR file:
```
NiOs2Pb
1.0
3.582 0.000 0.000
0.000 2.841 -0.291
0.000 2.084 6.461
Os Pb Ni
2 1 1
Cartesian
0.000 2.263 6.427
1.791 1.717 1.009
0.000 1.948 3.380
1.791 3.543 4.899
```

| no. | electronic total energy (eV per atom) |
| --- | --- |
| 1 | -6.1964 |
| 2 | -5.3075 |
| 3 | -6.8745 |
| 4 | -4.2835 |
| 5 | -2.5876 |
| 6 | -5.9768 |
| 7 | -7.4438 |